one | # TbTiTc, optimized geometry, DFT GGA-PBE
data_TbTiTc
_chemical_formula_sum 'Tb6 Ti6 Tc6'
_cell_length_a 4.3999
_cell_length_b 4.3999
_cell_length_c 23.7428
_cell_angle_alpha 90.00
_cell_angle_beta 90.00
_cell_angle_gamma 120.00
_symmetry_space_group_name_H-M 'R -3 m'
_symmetry_Int_Tables_number 166
_symmetry_space_group_name_Hall '-R 3 2"'
loop_
_atom_site_label
_atom_site_type_symbol
_atom_site_fract_x
_atom_site_fract_y
_atom_site_fract_z
_atom_site_occupancy
Tb1 Tb 0.0000 0.0000 0.2174 1
Ti1 Ti 0.0000 0.0000 0.3643 1
Tc1 Tc 0.0000 0.0000 0.0515 1
# magnetization = 0.000 μB/atom
# N(E_F) = 1.0459 states/eV per atom

---

two | # TbTiTc, optimized geometry, DFT GGA-PBE
data_TbTiTc
_chemical_formula_sum 'Tb2 Ti2 Tc2'
_cell_length_a 3.309
_cell_length_b 3.309
_cell_length_c 11.037
_cell_angle_alpha 90.00
_cell_angle_beta 90.00
_cell_angle_gamma 90.00
_symmetry_space_group_name_H-M 'I 4 m m'
_symmetry_Int_Tables_number 107
_symmetry_space_group_name_Hall 'I 4 -2'
loop_
_atom_site_label
_atom_site_type_symbol
_atom_site_fract_x
_atom_site_fract_y
_atom_site_fract_z
_atom_site_occupancy
Tb1 Tb 0.000 0.000 0.000 1
Ti1 Ti 0.000 0.000 0.283 1
Tc1 Tc 0.000 0.000 0.677 1
# magnetization = 0.000 μB/atom
# N(E_F) = 0.6121 states/eV per atom

---

Order of stability, best first: two, one

---

one | # Tb2TmTc, optimized geometry, DFT GGA-PBE
data_Tb2TmTc
_chemical_formula_sum 'Tb6 Tm3 Tc3'
_cell_length_a 3.4146
_cell_length_b 3.4146
_cell_length_c 32.5442
_cell_angle_alpha 90.00
_cell_angle_beta 90.00
_cell_angle_gamma 120.00
_symmetry_space_group_name_H-M 'R -3 m'
_symmetry_Int_Tables_number 166
_symmetry_space_group_name_Hall '-R 3 2"'
loop_
_atom_site_label
_atom_site_type_symbol
_atom_site_fract_x
_atom_site_fract_y
_atom_site_fract_z
_atom_site_occupancy
Tb1 Tb 0.0000 0.0000 0.1039 1
Tm1 Tm 0.0000 0.0000 0.0000 1
Tc1 Tc 0.0000 0.0000 0.5000 1
# magnetization = 0.005 μB/atom
# N(E_F) = 1.4087 states/eV per atom

---

two | # Tb2TmTc, optimized geometry, DFT GGA-PBE
data_Tb2TmTc
_chemical_formula_sum 'Tb8 Tm4 Tc4'
_cell_length_a 7.388
_cell_length_b 9.205
_cell_length_c 6.236
_cell_angle_alpha 90.00
_cell_angle_beta 90.00
_cell_angle_gamma 90.00
_symmetry_space_group_name_H-M 'P n m a'
_symmetry_Int_Tables_number 62
loop_
_symmetry_equiv_pos_as_xyz
'x,y,z'
'-x,-y,-z'
'-x+1/2,-y,z+1/2'
'x+1/2,y,-z+1/2'
'x+1/2,-y+1/2,-z+1/2'
'-x+1/2,y+1/2,z+1/2'
'-x,y+1/2,-z'
'x,-y+1/2,z'
loop_
_atom_site_label
_atom_site_type_symbol
_atom_site_fract_x
_atom_site_fract_y
_atom_site_fract_z
_atom_site_occupancy
Tb1 Tb 0.177 0.063 0.161 1
Tm1 Tm 0.043 0.250 0.631 1
Tc1 Tc 0.113 0.750 0.961 1
# magnetization = 0.000 μB/atom
# N(E_F) = 0.8278 states/eV per atom

---

Order of stability, best first: two, one

---

one | # Tb2TmTc, optimized geometry, DFT GGA-PBE
data_Tb2TmTc
_chemical_formula_sum 'Tb8 Tm4 Tc4'
_cell_length_a 3.884
_cell_length_b 11.865
_cell_length_c 9.168
_cell_angle_alpha 90.00
_cell_angle_beta 90.00
_cell_angle_gamma 90.00
_symmetry_space_group_name_H-M 'C m c m'
_symmetry_Int_Tables_number 63
_symmetry_space_group_name_Hall '-C 2c 2'
loop_
_atom_site_label
_atom_site_type_symbol
_atom_site_fract_x
_atom_site_fract_y
_atom_site_fract_z
_atom_site_occupancy
Tb1 Tb 0.000 0.142 0.066 1
Tm1 Tm 0.000 0.427 0.250 1
Tc1 Tc 0.000 0.239 0.750 1
# magnetization = 0.000 μB/atom
# N(E_F) = 0.8106 states/eV per atom

---

two | # Tb2TmTc, optimized geometry, DFT GGA-PBE
data_Tb2TmTc
_chemical_formula_sum 'Tb2 Tm1 Tc1'
_cell_length_a 3.470
_cell_length_b 3.470
_cell_length_c 8.737
_cell_angle_alpha 90.00
_cell_angle_beta 90.00
_cell_angle_gamma 90.00
_symmetry_space_group_name_H-M 'P 4/m m m'
_symmetry_Int_Tables_number 123
_symmetry_space_group_name_Hall '-P 4 2'
loop_
_atom_site_label
_atom_site_type_symbol
_atom_site_fract_x
_atom_site_fract_y
_atom_site_fract_z
_atom_site_occupancy
Tb1 Tb 0.000 0.000 0.189 1
Tm1 Tm 0.500 0.500 0.500 1
Tc1 Tc 0.500 0.500 0.000 1
# magnetization = 0.001 μB/atom
# N(E_F) = 1.3931 states/eV per atom

---

Order of stability, best first: one, two

---

one | # TbTmTc, optimized geometry, DFT GGA-PBE
data_TbTmTc
_chemical_formula_sum 'Tb2 Tm2 Tc2'
_cell_length_a 3.366
_cell_length_b 6.944
_cell_length_c 7.619
_cell_angle_alpha 63.07
_cell_angle_beta 84.35
_cell_angle_gamma 77.70
_symmetry_space_group_name_H-M 'P -1'
_symmetry_Int_Tables_number 2
loop_
_symmetry_equiv_pos_as_xyz
'x,y,z'
'-x,-y,-z'
loop_
_atom_site_label
_atom_site_type_symbol
_atom_site_fract_x
_atom_site_fract_y
_atom_site_fract_z
_atom_site_occupancy
Tb1 Tb 0.162 0.253 0.499 1
Tm1 Tm 0.000 0.000 0.000 1
Tm2 Tm 0.000 0.500 0.000 1
Tc1 Tc 0.499 0.623 0.254 1
# magnetization = 0.000 μB/atom
# N(E_F) = 0.9347 states/eV per atom

---

two | # TbTmTc, optimized geometry, DFT GGA-PBE
data_TbTmTc
_chemical_formula_sum 'Tb2 Tm2 Tc2'
_cell_length_a 3.458
_cell_length_b 3.458
_cell_length_c 12.306
_cell_angle_alpha 90.00
_cell_angle_beta 90.00
_cell_angle_gamma 90.00
_symmetry_space_group_name_H-M 'I 4 m m'
_symmetry_Int_Tables_number 107
_symmetry_space_group_name_Hall 'I 4 -2'
loop_
_atom_site_label
_atom_site_type_symbol
_atom_site_fract_x
_atom_site_fract_y
_atom_site_fract_z
_atom_site_occupancy
Tb1 Tb 0.000 0.000 0.000 1
Tm1 Tm 0.000 0.000 0.262 1
Tc1 Tc 0.000 0.000 0.634 1
# magnetization = 0.000 μB/atom
# N(E_F) = 1.2640 states/eV per atom

---

Order of stability, best first: two, one

---

one | # TbTm3Tc, optimized geometry, DFT GGA-PBE
data_TbTm3Tc
_chemical_formula_sum 'Tb4 Tm12 Tc4'
_cell_length_a 11.545
_cell_length_b 8.541
_cell_length_c 7.798
_cell_angle_alpha 90.00
_cell_angle_beta 132.11
_cell_angle_gamma 90.00
_symmetry_space_group_name_H-M 'C 1 2/m 1'
_symmetry_Int_Tables_number 12
loop_
_symmetry_equiv_pos_as_xyz
'x,y,z'
'-x,-y,-z'
'-x,y,-z'
'x,-y,z'
'x+1/2,y+1/2,z'
'-x+1/2,-y+1/2,-z'
'-x+1/2,y+1/2,-z'
'x+1/2,-y+1/2,z'
loop_
_atom_site_label
_atom_site_type_symbol
_atom_site_fract_x
_atom_site_fract_y
_atom_site_fract_z
_atom_site_occupancy
Tb1 Tb 0.053 0.000 0.343 1
Tm1 Tm 0.055 0.500 0.258 1
Tm2 Tm 0.247 0.304 0.794 1
Tc1 Tc 0.250 0.000 0.878 1
# magnetization = 0.000 μB/atom
# N(E_F) = 0.9343 states/eV per atom

---

two | # TbTm3Tc, optimized geometry, DFT GGA-PBE
data_TbTm3Tc
_chemical_formula_sum 'Tb2 Tm6 Tc2'
_cell_length_a 4.869
_cell_length_b 8.131
_cell_length_c 6.835
_cell_angle_alpha 90.00
_cell_angle_beta 90.00
_cell_angle_gamma 90.00
_symmetry_space_group_name_H-M 'P m m n'
_symmetry_Int_Tables_number 59
loop_
_symmetry_equiv_pos_as_xyz
'x,y,z'
'-x,-y,-z'
'-x+1/2,-y+1/2,z'
'x+1/2,y+1/2,-z'
'x+1/2,-y,-z'
'-x+1/2,y,z'
'-x,y+1/2,-z'
'x,-y+1/2,z'
loop_
_atom_site_label
_atom_site_type_symbol
_atom_site_fract_x
_atom_site_fract_y
_atom_site_fract_z
_atom_site_occupancy
Tb1 Tb 0.250 0.250 0.077 1
Tm1 Tm 0.250 0.549 0.678 1
Tm2 Tm 0.250 0.750 0.258 1
Tc1 Tc 0.250 0.250 0.481 1
# magnetization = 0.000 μB/atom
# N(E_F) = 0.9379 states/eV per atom

---

Order of stability, best first: one, two

---

one | # TbY2Tc, optimized geometry, DFT GGA-PBE
data_TbY2Tc
_chemical_formula_sum 'Tb1 Y2 Tc1'
_cell_length_a 3.466
_cell_length_b 3.466
_cell_length_c 8.943
_cell_angle_alpha 90.00
_cell_angle_beta 90.00
_cell_angle_gamma 90.00
_symmetry_space_group_name_H-M 'P 4/m m m'
_symmetry_Int_Tables_number 123
_symmetry_space_group_name_Hall '-P 4 2'
loop_
_atom_site_label
_atom_site_type_symbol
_atom_site_fract_x
_atom_site_fract_y
_atom_site_fract_z
_atom_site_occupancy
Tb1 Tb 0.000 0.000 0.000 1
Y1 Y 0.500 0.500 0.315 1
Tc1 Tc 0.000 0.000 0.500 1
# magnetization = 0.000 μB/atom
# N(E_F) = 1.6086 states/eV per atom

---

two | # TbY2Tc, optimized geometry, DFT GGA-PBE
data_TbY2Tc
_chemical_formula_sum 'Tb3 Y6 Tc3'
_cell_length_a 3.4311
_cell_length_b 3.4311
_cell_length_c 32.9352
_cell_angle_alpha 90.00
_cell_angle_beta 90.00
_cell_angle_gamma 120.00
_symmetry_space_group_name_H-M 'R -3 m'
_symmetry_Int_Tables_number 166
_symmetry_space_group_name_Hall '-R 3 2"'
loop_
_atom_site_label
_atom_site_type_symbol
_atom_site_fract_x
_atom_site_fract_y
_atom_site_fract_z
_atom_site_occupancy
Tb1 Tb 0.0000 0.0000 0.0000 1
Y1 Y 0.0000 0.0000 0.1050 1
Tc1 Tc 0.0000 0.0000 0.5000 1
# magnetization = 0.001 μB/atom
# N(E_F) = 1.6368 states/eV per atom

---

Order of stability, best first: one, two

---

one | # Tb4ZnTc, optimized geometry, DFT GGA-PBE
data_Tb4ZnTc
_chemical_formula_sum 'Tb16 Zn4 Tc4'
_cell_length_a 8.361
_cell_length_b 12.574
_cell_length_c 6.305
_cell_angle_alpha 90.00
_cell_angle_beta 105.38
_cell_angle_gamma 90.00
_symmetry_space_group_name_H-M 'C 1 2/c 1'
_symmetry_Int_Tables_number 15
loop_
_symmetry_equiv_pos_as_xyz
'x,y,z'
'-x,-y,-z'
'-x,y,-z+1/2'
'x,-y,z+1/2'
'x+1/2,y+1/2,z'
'-x+1/2,-y+1/2,-z'
'-x+1/2,y+1/2,-z+1/2'
'x+1/2,-y+1/2,z+1/2'
loop_
_atom_site_label
_atom_site_type_symbol
_atom_site_fract_x
_atom_site_fract_y
_atom_site_fract_z
_atom_site_occupancy
Tb1 Tb 0.106 0.172 0.038 1
Tb2 Tb 0.209 0.420 0.411 1
Zn1 Zn 0.000 0.373 0.750 1
Tc1 Tc 0.000 0.002 0.250 1
# magnetization = 0.000 μB/atom
# N(E_F) = 0.8229 states/eV per atom

---

two | # Tb4ZnTc, optimized geometry, DFT GGA-PBE
data_Tb4ZnTc
_chemical_formula_sum 'Tb4 Zn1 Tc1'
_cell_length_a 4.889
_cell_length_b 4.889
_cell_length_c 6.971
_cell_angle_alpha 90.00
_cell_angle_beta 90.00
_cell_angle_gamma 90.00
_symmetry_space_group_name_H-M 'P 4/m m m'
_symmetry_Int_Tables_number 123
_symmetry_space_group_name_Hall '-P 4 2'
loop_
_atom_site_label
_atom_site_type_symbol
_atom_site_fract_x
_atom_site_fract_y
_atom_site_fract_z
_atom_site_occupancy
Tb1 Tb 0.000 0.500 0.238 1
Zn1 Zn 0.000 0.000 0.500 1
Tc1 Tc 0.500 0.500 0.000 1
# magnetization = 0.000 μB/atom
# N(E_F) = 0.8344 states/eV per atom

---

Order of stability, best first: one, two

---

one | # TbZr2Tc, optimized geometry, DFT GGA-PBE
data_TbZr2Tc
_chemical_formula_sum 'Tb1 Zr2 Tc1'
_cell_length_a 3.340
_cell_length_b 3.340
_cell_length_c 8.111
_cell_angle_alpha 90.00
_cell_angle_beta 90.00
_cell_angle_gamma 90.00
_symmetry_space_group_name_H-M 'P 4/m m m'
_symmetry_Int_Tables_number 123
_symmetry_space_group_name_Hall '-P 4 2'
loop_
_atom_site_label
_atom_site_type_symbol
_atom_site_fract_x
_atom_site_fract_y
_atom_site_fract_z
_atom_site_occupancy
Tb1 Tb 0.000 0.000 0.000 1
Zr1 Zr 0.500 0.500 0.308 1
Tc1 Tc 0.000 0.000 0.500 1
# magnetization = 0.000 μB/atom
# N(E_F) = 1.4966 states/eV per atom

---

two | # TbZr2Tc, optimized geometry, DFT GGA-PBE
data_TbZr2Tc
_chemical_formula_sum 'Tb3 Zr6 Tc3'
_cell_length_a 3.2487
_cell_length_b 3.2487
_cell_length_c 30.9507
_cell_angle_alpha 90.00
_cell_angle_beta 90.00
_cell_angle_gamma 120.00
_symmetry_space_group_name_H-M 'R -3 m'
_symmetry_Int_Tables_number 166
_symmetry_space_group_name_Hall '-R 3 2"'
loop_
_atom_site_label
_atom_site_type_symbol
_atom_site_fract_x
_atom_site_fract_y
_atom_site_fract_z
_atom_site_occupancy
Tb1 Tb 0.0000 0.0000 0.0000 1
Zr1 Zr 0.0000 0.0000 0.1028 1
Tc1 Tc 0.0000 0.0000 0.5000 1
# magnetization = 0.000 μB/atom
# N(E_F) = 1.5109 states/eV per atom

---

Order of stability, best first: one, two